VASP calculation (PBE-GGA) on an optimized crystal structure of Mg3ZrNi8.

Summary:
Offset from the most stable computed form, meV per atom: 0

a = 4.8468 Å, b = 4.8468 Å, c = 23.6790 Å
α = 90.00°, β = 90.00°, γ = 120.00°
Space group R3m (No. 160, hexagonal axes)
Inequivalent atoms, fractional coordinates:
Mg (0.0000, 0.0000, 0.0000) x3
Mg (0.0000, 0.0000, 0.1223) x3
Mg (0.0000, 0.0000, 0.6297) x3
Zr (0.0000, 0.0000, 0.5027) x3
Ni (0.0000, 0.0000, 0.3139) x3
Ni (0.0000, 0.0000, 0.8136) x3
Ni (0.9998, 0.4999, 0.0643) x9
Ni (0.1678, 0.3355, 0.8969) x9